DFT (PBE-GGA) results for a relaxed NiPb crystal.

abc: 6.3121 6.3121 6.3121
angles: 97.13 97.13 138.73
Element x y z (fractional)
Ni 0.1574 0.1574 0.3149
Ni 0.1574 0.8426 0.0000
Ni 0.8426 0.1574 0.0000
Ni 0.8426 0.8426 0.6851
Pb 0.2212 0.5000 0.7212
Pb 0.5000 0.2212 0.7212
Pb 0.5000 0.7788 0.2788
Pb 0.7788 0.5000 0.2788

ΔH_f (0 K)   0.264 eV/atom
Total energy   -4.481 eV/atom
Crystal system   tetragonal
SG   No. 139